(1)
The following is a PBE-GGA calculation of Pm5Y4In after structural relaxation, from Alexandria.

Structure (CIF):
```
data_Pm5Y4In
_cell_length_a 4.178
_cell_length_b 4.178
_cell_length_c 18.567
_cell_angle_alpha 90.00
_cell_angle_beta 90.00
_cell_angle_gamma 90.00
_symmetry_space_group_name_H-M 'P 4/m m m'
_symmetry_Int_Tables_number 123
_symmetry_space_group_name_Hall '-P 4 2'
loop_
_atom_site_label
_atom_site_type_symbol
_atom_site_fract_x
_atom_site_fract_y
_atom_site_fract_z
_atom_site_occupancy
Pm1 Pm 0.000 0.000 0.000 1
Pm2 Pm 0.000 0.000 0.206 1
Pm3 Pm 0.000 0.000 0.412 1
Y1 Y 0.500 0.500 0.103 1
Y2 Y 0.500 0.500 0.307 1
In1 In 0.500 0.500 0.500 1
```

## Properties
Formation energy from the elements   -11 meV per atom
M_tot   0.000 μB per formula unit
Energy   -5.2458 eV/atom


(2)
The following is a PBE-GGA calculation of Sm2GeBr after structural relaxation, from Alexandria.

Structure (CIF):
```
data_Sm2GeBr
_cell_length_a 7.654
_cell_length_b 4.079
_cell_length_c 14.199
_cell_angle_alpha 90.00
_cell_angle_beta 90.00
_cell_angle_gamma 90.00
_symmetry_space_group_name_H-M 'P n m a'
_symmetry_Int_Tables_number 62
loop_
_symmetry_equiv_pos_as_xyz
'x,y,z'
'-x,-y,-z'
'-x+1/2,-y,z+1/2'
'x+1/2,y,-z+1/2'
'x+1/2,-y+1/2,-z+1/2'
'-x+1/2,y+1/2,z+1/2'
'-x,y+1/2,-z'
'x,-y+1/2,z'
loop_
_atom_site_label
_atom_site_type_symbol
_atom_site_fract_x
_atom_site_fract_y
_atom_site_fract_z
_atom_site_occupancy
Sm1 Sm 0.152 0.250 0.237 1
Sm2 Sm 0.193 0.750 0.993 1
Ge1 Ge 0.087 0.250 0.849 1
Br1 Br 0.076 0.750 0.593 1
```

## Properties
M_tot   0.000 μB per formula unit
Energy   -5.0316 eV/atom


(3)
The following is a PBE-GGA calculation of Sr2LiPd2 after structural relaxation, from Alexandria.

Structure (CIF):
```
data_Sr2LiPd2
_cell_length_a 3.972
_cell_length_b 3.972
_cell_length_c 18.888
_cell_angle_alpha 90.00
_cell_angle_beta 90.00
_cell_angle_gamma 90.00
_symmetry_space_group_name_H-M 'I 4/m m m'
_symmetry_Int_Tables_number 139
_symmetry_space_group_name_Hall '-I 4 2'
loop_
_atom_site_label
_atom_site_type_symbol
_atom_site_fract_x
_atom_site_fract_y
_atom_site_fract_z
_atom_site_occupancy
Sr1 Sr 0.000 0.000 0.129 1
Li1 Li 0.000 0.000 0.500 1
Pd1 Pd 0.000 0.500 0.250 1
```

## Properties
Formation energy from the elements   -197 meV per atom
M_tot   0.000 μB per formula unit
Energy   -3.3291 eV/atom